No. 1
Entry from Alexandria: crystalline TmFeRu2C at its relaxed geometry (GGA-PBE).

Values from the calculation:
The total magnetization comes out at 0.1858 μB per atom. The value obtained for the density of states at the Fermi level is 5.01 states/eV per cell. The energy relative to the elements is -0.19 eV/atom.

Unit cell a=3.909 b=4.157 c=4.157 alpha=90.00 beta=90.00 gamma=90.00
Each line ends with the local moment (μB).
Element x y z (fractional)
Tm 0.500 0.500 0.500  -0.05
Ru 0.000 0.500 0.000  0.00
Ru 0.000 0.000 0.500  0.00
C 0.000 0.000 0.000  -0.03
Fe 0.500 0.000 0.000  1.00

---

No. 2
Entry from Alexandria: crystalline Er4IrSe3 at its relaxed geometry (GGA-PBE).

Values from the calculation:
The total magnetization comes out at 0.0000 μB per atom. The value obtained for the density of states at the Fermi level is 5.89 states/eV per cell. The value obtained for the uncorrected formation energy is -1.50 eV/atom.

Unit cell a=3.990 b=7.138 c=7.138 alpha=108.53 beta=90.00 gamma=90.00
Element x y z (fractional)
Er 0.000 0.225 0.225
Er 0.500 0.237 0.763
Er 0.000 0.775 0.775
Er 0.500 0.763 0.237
Se 0.500 0.500 0.500
Se 0.000 0.500 0.000
Se 0.000 0.000 0.500
Ir 0.500 0.000 0.000

---

- What is the formula in the second record?
  Er4IrSe3